# TcAsSe2N (PBE, optimized geometry)
data_TcAsSe2N
_chemical_formula_sum 'Tc1 As1 Se2 N1'
_symmetry_space_group_name_H-M 'P 1'
_symmetry_Int_Tables_number 1
_cell_length_a 5.1389
_cell_length_b 5.1389
_cell_length_c 3.5713
_cell_angle_alpha 90.00
_cell_angle_beta 90.00
_cell_angle_gamma 90.00
loop_
_symmetry_equiv_pos_as_xyz
'x,y,z'
loop_
_atom_site_label
_atom_site_type_symbol
_atom_site_fract_x
_atom_site_fract_y
_atom_site_fract_z
Tc1 Tc 0.0000 0.0000 0.0000
As1 As 0.5000 0.5000 0.5000
Se1 Se 0.0000 0.5000 0.5000
Se2 Se 0.5000 0.0000 0.5000
N1 N 0.5000 0.5000 0.0000
# Symmetry: No. 123
# Formation energy from raw total energies in eV/atom: 1.201
# ΔE to the lowest computed polymorph in meV per atom: 785.8
# Crystal system: tetragonal
# Uncorrected energy in eV/atom: -4.8607
# Size of the total moment in Bohr magnetons per cell: 3.4

# PmCd2In (PBE, optimized geometry)
data_PmCd2In
_chemical_formula_sum 'Pm1 Cd2 In1'
_symmetry_space_group_name_H-M 'P 1'
_symmetry_Int_Tables_number 1
_cell_length_a 3.7835
_cell_length_b 3.7835
_cell_length_c 7.2877
_cell_angle_alpha 90.00
_cell_angle_beta 90.00
_cell_angle_gamma 90.00
loop_
_symmetry_equiv_pos_as_xyz
'x,y,z'
loop_
_atom_site_label
_atom_site_type_symbol
_atom_site_fract_x
_atom_site_fract_y
_atom_site_fract_z
Pm1 Pm 0.0000 0.0000 0.0000
Cd1 Cd 0.5000 0.5000 0.2697
Cd2 Cd 0.5000 0.5000 0.7303
In1 In 0.0000 0.0000 0.5000
# Symmetry: No. 123
# ΔE to the lowest computed polymorph in meV per atom: 148.1
# Crystal system: tetragonal
# Uncorrected energy in eV/atom: -2.5288
# Energy of formation from the pure elements in kcal/mol of atoms: -4.589
# Size of the total moment in Bohr magnetons per cell: 0.4

# Si2TcIr2 (PBE, optimized geometry)
data_Si2TcIr2
_chemical_formula_sum 'Si4 Tc2 Ir4'
_symmetry_space_group_name_H-M 'P 1'
_symmetry_Int_Tables_number 1
_cell_length_a 7.0760
_cell_length_b 7.0760
_cell_length_c 2.7441
_cell_angle_alpha 90.00
_cell_angle_beta 90.00
_cell_angle_gamma 90.00
loop_
_symmetry_equiv_pos_as_xyz
'x,y,z'
loop_
_atom_site_label
_atom_site_type_symbol
_atom_site_fract_x
_atom_site_fract_y
_atom_site_fract_z
Si1 Si 0.1520 0.3480 0.0000
Si2 Si 0.3480 0.8480 0.0000
Si3 Si 0.6520 0.1520 0.0000
Si4 Si 0.8480 0.6520 0.0000
Tc1 Tc 0.0000 0.0000 0.0000
Tc2 Tc 0.5000 0.5000 0.0000
Ir1 Ir 0.1479 0.6479 0.5000
Ir2 Ir 0.3521 0.1479 0.5000
Ir3 Ir 0.6479 0.8521 0.5000
Ir4 Ir 0.8521 0.3521 0.5000
# Symmetry: No. 127
# Formation energy from raw total energies in eV/atom: -0.398
# Crystal system: tetragonal
# Uncorrected energy in eV/atom: -8.1847
# Size of the total moment in Bohr magnetons per cell: 0.0

# MgScIr2 (PBE, optimized geometry)
data_MgScIr2
_chemical_formula_sum 'Mg1 Sc1 Ir2'
_symmetry_space_group_name_H-M 'P 1'
_symmetry_Int_Tables_number 1
_cell_length_a 5.2187
_cell_length_b 5.2187
_cell_length_c 4.6773
_cell_angle_alpha 109.18
_cell_angle_beta 109.18
_cell_angle_gamma 33.43
loop_
_symmetry_equiv_pos_as_xyz
'x,y,z'
loop_
_atom_site_label
_atom_site_type_symbol
_atom_site_fract_x
_atom_site_fract_y
_atom_site_fract_z
Mg1 Mg 0.0000 0.0000 0.0000
Sc1 Sc 0.7845 0.7845 0.3801
Ir1 Ir 0.2536 0.2536 0.8781
Ir2 Ir 0.5310 0.5310 0.5068
# Symmetry: No. 8
# Crystal system: monoclinic
# Uncorrected energy in eV/atom: -6.9697
# Energy of formation from the pure elements in kcal/mol of atoms: -12.859
# Size of the total moment in Bohr magnetons per cell: 0.0

# Cs2Ca3PmF12 (PBE, optimized geometry)
data_Cs2Ca3PmF12
_chemical_formula_sum 'Cs2 Ca3 Pm1 F12'
_symmetry_space_group_name_H-M 'P 1'
_symmetry_Int_Tables_number 1
_cell_length_a 8.4293
_cell_length_b 8.4293
_cell_length_c 8.4293
_cell_angle_alpha 58.44
_cell_angle_beta 58.44
_cell_angle_gamma 58.44
loop_
_symmetry_equiv_pos_as_xyz
'x,y,z'
loop_
_atom_site_label
_atom_site_type_symbol
_atom_site_fract_x
_atom_site_fract_y
_atom_site_fract_z
Cs1 Cs 0.1056 0.1056 0.1056
Cs2 Cs 0.8944 0.8944 0.8944
Ca1 Ca 0.0000 0.5000 0.5000
Ca2 Ca 0.5000 0.0000 0.5000
Ca3 Ca 0.5000 0.5000 0.0000
Pm1 Pm 0.5000 0.5000 0.5000
F1 F 0.1704 0.1704 0.5867
F2 F 0.1704 0.5867 0.1704
F3 F 0.1773 0.5693 0.5693
F4 F 0.4133 0.8296 0.8296
F5 F 0.4307 0.4307 0.8227
F6 F 0.4307 0.8226 0.4307
F7 F 0.5693 0.1773 0.5693
F8 F 0.5693 0.5693 0.1773
F9 F 0.5867 0.1704 0.1704
F10 F 0.8227 0.4307 0.4307
F11 F 0.8296 0.4133 0.8296
F12 F 0.8296 0.8296 0.4133
# Symmetry: No. 166
# Formation energy from raw total energies in eV/atom: -3.428
# Crystal system: trigonal
# Uncorrected energy in eV/atom: -5.3679
# Size of the total moment in Bohr magnetons per cell: 1.3

# Pr5Dy2Y5 (PBE, optimized geometry)
data_Pr5Dy2Y5
_chemical_formula_sum 'Pr5 Dy2 Y5'
_symmetry_space_group_name_H-M 'P 1'
_symmetry_Int_Tables_number 1
_cell_length_a 8.8345
_cell_length_b 8.8345
_cell_length_c 9.7660
_cell_angle_alpha 119.07
_cell_angle_beta 119.07
_cell_angle_gamma 38.68
loop_
_symmetry_equiv_pos_as_xyz
'x,y,z'
loop_
_atom_site_label
_atom_site_type_symbol
_atom_site_fract_x
_atom_site_fract_y
_atom_site_fract_z
Pr1 Pr 0.0000 0.0000 0.0000
Pr2 Pr 0.0870 0.0870 0.4225
Pr3 Pr 0.2643 0.2643 0.2859
Pr4 Pr 0.7357 0.7357 0.7141
Pr5 Pr 0.9130 0.9130 0.5775
Dy1 Dy 0.1787 0.1787 0.8585
Dy2 Dy 0.8213 0.8213 0.1415
Y1 Y 0.3425 0.3425 0.7089
Y2 Y 0.4218 0.4218 0.1139
Y3 Y 0.5000 0.5000 0.5000
Y4 Y 0.5782 0.5782 0.8861
Y5 Y 0.6575 0.6575 0.2911
# Symmetry: No. 12
# ΔE to the lowest computed polymorph in meV per atom: 40.9
# Crystal system: monoclinic
# Uncorrected energy in eV/atom: -5.3541
# Energy of formation from the pure elements in kcal/mol of atoms: 2.255
# Size of the total moment in Bohr magnetons per cell: 0.0

# SrPrZnNi (PBE, optimized geometry)
data_SrPrZnNi
_chemical_formula_sum 'Sr1 Pr1 Zn1 Ni1'
_symmetry_space_group_name_H-M 'P 1'
_symmetry_Int_Tables_number 1
_cell_length_a 5.1968
_cell_length_b 5.1968
_cell_length_c 5.1968
_cell_angle_alpha 60.00
_cell_angle_beta 60.00
_cell_angle_gamma 60.00
loop_
_symmetry_equiv_pos_as_xyz
'x,y,z'
loop_
_atom_site_label
_atom_site_type_symbol
_atom_site_fract_x
_atom_site_fract_y
_atom_site_fract_z
Sr1 Sr 0.0000 0.0000 0.0000
Pr1 Pr 0.5000 0.5000 0.5000
Zn1 Zn 0.2500 0.2500 0.2500
Ni1 Ni 0.7500 0.7500 0.7500
# Symmetry: No. 216
# Crystal system: cubic
# Uncorrected energy in eV/atom: -3.4659
# Energy of formation from the pure elements in kcal/mol of atoms: -2.000
# Size of the total moment in Bohr magnetons per cell: 0.0

# HoGe2Pd (PBE, optimized geometry)
data_HoGe2Pd
_chemical_formula_sum 'Ho4 Ge8 Pd4'
_symmetry_space_group_name_H-M 'P 1'
_symmetry_Int_Tables_number 1
_cell_length_a 8.4905
_cell_length_b 8.4905
_cell_length_c 8.7865
_cell_angle_alpha 90.00
_cell_angle_beta 90.00
_cell_angle_gamma 150.56
loop_
_symmetry_equiv_pos_as_xyz
'x,y,z'
loop_
_atom_site_label
_atom_site_type_symbol
_atom_site_fract_x
_atom_site_fract_y
_atom_site_fract_z
Ho1 Ho 0.0000 0.0000 0.0000
Ho2 Ho 0.0000 0.0000 0.5000
Ho3 Ho 0.2011 0.7989 0.7500
Ho4 Ho 0.7989 0.2011 0.2500
Ge1 Ge 0.1977 0.8023 0.0997
Ge2 Ge 0.1977 0.8023 0.4003
Ge3 Ge 0.4235 0.5765 0.7500
Ge4 Ge 0.4274 0.5726 0.2500
Ge5 Ge 0.5726 0.4274 0.7500
Ge6 Ge 0.5765 0.4235 0.2500
Ge7 Ge 0.8023 0.1977 0.5997
Ge8 Ge 0.8023 0.1977 0.9003
Pd1 Pd 0.3531 0.6469 0.0016
Pd2 Pd 0.3531 0.6469 0.4984
Pd3 Pd 0.6469 0.3531 0.5016
Pd4 Pd 0.6469 0.3531 0.9984
# Symmetry: No. 63
# Crystal system: orthorhombic
# Uncorrected energy in eV/atom: -5.4901
# Energy of formation from the pure elements in kcal/mol of atoms: -17.036
# Size of the total moment in Bohr magnetons per cell: 0.0

# Te2IrF (PBE, optimized geometry)
data_Te2IrF
_chemical_formula_sum 'Te2 Ir1 F1'
_symmetry_space_group_name_H-M 'P 1'
_symmetry_Int_Tables_number 1
_cell_length_a 4.1182
_cell_length_b 4.1182
_cell_length_c 6.9152
_cell_angle_alpha 90.00
_cell_angle_beta 90.00
_cell_angle_gamma 120.00
loop_
_symmetry_equiv_pos_as_xyz
'x,y,z'
loop_
_atom_site_label
_atom_site_type_symbol
_atom_site_fract_x
_atom_site_fract_y
_atom_site_fract_z
Te1 Te 0.0000 0.0000 0.0000
Te2 Te 0.3333 0.6667 0.6457
Ir1 Ir 0.6667 0.3333 0.8534
F1 F 0.0000 0.0000 0.2890
# Symmetry: No. 156
# Formation energy from raw total energies in eV/atom: -0.762
# ΔE to the lowest computed polymorph in meV per atom: 0.0
# Crystal system: trigonal
# Uncorrected energy in eV/atom: -5.0157
# Size of the total moment in Bohr magnetons per cell: 0.0

Which formula does entry 7 have?
SrPrZnNi

size of the total moment of number 2 (PmCd2In)?
0.4 Bohr magnetons per cell